# Pm3Pb2O PBE-GGA relaxed
data_Pm3Pb2O
_chemical_formula_sum 'Pm12 Pb8 O4'
_space_group_name_H-M_alt 'P 1'
_space_group_IT_number 1
_cell_length_a 4.174
_cell_length_b 9.270
_cell_length_c 17.981
_cell_angle_alpha 90.00
_cell_angle_beta 90.00
_cell_angle_gamma 90.00
loop_
_space_group_symop_operation_xyz
'x,y,z'
loop_
_atom_site_label
_atom_site_type_symbol
_atom_site_fract_x
_atom_site_fract_y
_atom_site_fract_z
Pm1 Pm 0.250 0.319 0.764
Pm2 Pm 0.750 0.681 0.236
Pm3 Pm 0.750 0.181 0.264
Pm4 Pm 0.250 0.819 0.736
Pm5 Pm 0.750 0.971 0.892
Pm6 Pm 0.250 0.029 0.108
Pm7 Pm 0.250 0.529 0.392
Pm8 Pm 0.750 0.471 0.608
Pm9 Pm 0.250 0.138 0.578
Pm10 Pm 0.750 0.862 0.422
Pm11 Pm 0.750 0.362 0.078
Pm12 Pm 0.250 0.638 0.922
Pb1 Pb 0.250 0.251 0.950
Pb2 Pb 0.750 0.749 0.050
Pb3 Pb 0.750 0.249 0.450
Pb4 Pb 0.250 0.751 0.550
Pb5 Pb 0.750 0.074 0.716
Pb6 Pb 0.250 0.926 0.284
Pb7 Pb 0.250 0.426 0.216
Pb8 Pb 0.750 0.574 0.784
O1 O 0.250 0.362 0.635
O2 O 0.750 0.638 0.365
O3 O 0.750 0.138 0.135
O4 O 0.250 0.862 0.865
# total magnetic moment = 0.0000 μB/atom
# electronic total energy = -5.748 eV/atom
# formation energy without anion corrections = -1.311 eV/atom